Here is crystalline LiEr2Hf at its relaxed geometry from the Alexandria database. Energies are from GGA-PBE.

a = 3.331 Å, b = 3.331 Å, c = 11.179 Å
α = 81.43°, β = 81.43°, γ = 60.00°
Element x y z (fractional)
1 Li 0.500 0.500 0.500
2 Er 0.079 0.079 0.764
3 Er 0.254 0.254 0.237
4 Hf 0.667 0.667 0.000

The formation energy is 0.1284 eV/atom. The calculation puts the total magnetization at 0.0 μB/cell. For the polymorph energy (0 for the lowest one), the calculation gives 0.035 eV/atom.

---

Here is crystalline OsPt3 at its relaxed geometry from the Alexandria database. Energies are from GGA-PBE.

a = 9.289 Å, b = 9.289 Å, c = 9.289 Å
α = 17.18°, β = 17.18°, γ = 17.18°
Element x y z (fractional)
1 Os 0.000 0.000 0.000
2 Pt 0.253 0.253 0.253
3 Pt 0.500 0.500 0.500
4 Pt 0.747 0.747 0.747

The formation energy is 0.0104 eV/atom. The calculation puts the total magnetization at 0.0 μB/cell.

---

Here is crystalline Ho3ErTm at its relaxed geometry from the Alexandria database. Energies are from GGA-PBE.

a = 9.480 Å, b = 6.617 Å, c = 6.200 Å
α = 117.90°, β = 109.12°, γ = 95.88°
Element x y z (fractional)
1 Ho 0.050 0.949 0.483
2 Ho 0.750 0.450 0.916
3 Ho 0.550 0.451 0.317
4 Ho 0.450 0.949 0.683
5 Ho 0.250 0.950 0.084
6 Ho 0.950 0.451 0.517
7 Er 0.651 0.950 0.284
8 Er 0.349 0.450 0.716
9 Tm 0.149 0.449 0.115
10 Tm 0.851 0.951 0.885

The formation energy is 0.0012 eV/atom. The calculation puts the total magnetization at 0.0 μB/cell. For the polymorph energy (0 for the lowest one), the calculation gives 0.000 eV/atom.

---

Here is crystalline Ba2VBr at its relaxed geometry from the Alexandria database. Energies are from GGA-PBE.

a = 5.986 Å, b = 5.986 Å, c = 5.986 Å
α = 60.00°, β = 60.00°, γ = 60.00°
Last column: magnetic moment on the atom in μB.
Element x y z (fractional)
1 Ba 0.250 0.250 0.250  0.24
2 Ba 0.750 0.750 0.750  0.24
3 Br 0.500 0.500 0.500  0.07
4 V 0.000 0.000 0.000  3.21

The calculation puts the total magnetization at 5.9 μB/cell. For the polymorph energy (0 for the lowest one), the calculation gives 0.000 eV/atom.

---

Here is crystalline NaGdH at its relaxed geometry from the Alexandria database. Energies are from GGA-PBE.

a = 3.739 Å, b = 3.740 Å, c = 12.368 Å
α = 81.67°, β = 90.00°, γ = 120.00°
Last column: magnetic moment on the atom in μB.
Element x y z (fractional)
1 Na 0.380 0.759 0.372  0.00
2 Na 0.620 0.241 0.628  0.00
3 Gd 0.131 0.262 0.115  7.08
4 Gd 0.869 0.738 0.885  7.08
5 H 0.188 0.375 0.932  -0.01
6 H 0.812 0.625 0.068  -0.01

The raw total energy comes out at -6.50 eV/atom. The calculation puts the total magnetization at 14.8 μB/cell.